Record 1
! PBE NaAgF3, optimized geometry; values from VASP
&SYSTEM
  ibrav = 0, nat = 10, ntyp = 3
/
ATOMIC_SPECIES
Ag 107.87 Ag.upf
F 19.00 F.upf
Na 22.99 Na.upf
ATOMIC_POSITIONS angstrom
Ag 0.0000 0.0000 0.0000
F 1.7540 3.9844 1.4958
Ag 0.0000 3.1411 2.5391
Na 1.7540 -0.1760 3.4302
F 0.0000 6.0519 3.0429
F 0.0000 4.2439 5.2796
Na 1.7540 3.3171 -0.8912
F 0.0000 2.0382 -0.2015
F 1.7540 2.2977 3.5823
F 0.0000 0.2302 2.0352
CELL_PARAMETERS angstrom
3.5080 0.0000 0.0000
0.0000 6.6342 -1.7823
0.0000 -0.3521 6.8604
! Energy above the lowest structure with this stoichiometry: 0 meV per atom
! VASP energy: -3.74 eV/atom
! Volume: 157.5 Å³/cell
! Formation energy from raw total energies: -1785 meV per atom

---

Record 2
! PBE Na2AgF4, optimized geometry; values from VASP
&SYSTEM
  ibrav = 0, nat = 14, ntyp = 3
/
ATOMIC_SPECIES
Ag 107.87 Ag.upf
Na 22.99 Na.upf
F 19.00 F.upf
ATOMIC_POSITIONS angstrom
Ag 1.4579 -0.5168 4.1296
Na 3.4269 -0.2018 1.6203
F 2.4054 1.1772 0.1444
F 0.5537 -1.4526 1.8298
Ag 1.1598 -2.9909 0.4813
F 3.3204 -1.4527 3.6141
F 3.6804 -2.2080 0.6092
Na 5.3973 -0.0593 -2.2429
F 5.3867 0.8580 1.9851
F 4.2753 3.4897 1.5566
F 1.5072 -4.1456 2.2580
F 2.3166 1.2330 3.2618
Na 6.2673 2.4974 0.5402
Na -0.3825 -3.1828 3.2843
CELL_PARAMETERS angstrom
-1.7714 -3.4364 4.9317
4.1075 -2.5878 -3.9623
3.5355 5.3726 2.8496
! Energy above the lowest structure with this stoichiometry: 21 meV per atom
! VASP energy: -3.91 eV/atom
! Volume: 217.7 Å³/cell
! Formation energy from raw total energies: -2052 meV per atom

---

Record 3
! PBE Na3Ag5F8, optimized geometry; values from VASP
&SYSTEM
  ibrav = 0, nat = 16, ntyp = 3
/
ATOMIC_SPECIES
Ag 107.87 Ag.upf
Na 22.99 Na.upf
F 19.00 F.upf
ATOMIC_POSITIONS angstrom
Ag -4.5218 -2.1360 3.1615
Na 0.1026 -0.5213 3.4852
F -2.1397 -1.3204 3.4290
Ag -2.8335 0.5209 1.8352
F -6.7263 -3.4868 6.6346
Na -2.7309 -0.0005 5.3204
Na -1.5858 -3.1782 4.8114
F -4.9659 -0.7166 5.2518
F -6.6989 -3.9942 9.8643
F -3.8726 -4.5980 8.0414
Ag -1.6884 -2.6568 1.3262
Ag -4.4193 -2.6573 6.6466
F -2.1122 -1.8279 6.6587
F -5.0666 -1.2848 8.5722
F -3.7720 -4.0298 4.7211
Ag 0.0000 0.0000 0.0000
CELL_PARAMETERS angstrom
-5.6670 1.0417 3.6705
-3.3767 -5.3136 2.6524
0.2051 -1.0427 6.9703
! VASP energy: -3.69 eV/atom
! Volume: 236.2 Å³/cell
! Formation energy from raw total energies: -1620 meV per atom

---

Record 4
! PBE NaAg2F, optimized geometry; values from VASP
&SYSTEM
  ibrav = 0, nat = 4, ntyp = 3
/
ATOMIC_SPECIES
F 19.00 F.upf
Ag 107.87 Ag.upf
Na 22.99 Na.upf
ATOMIC_POSITIONS angstrom
F 3.0528 1.7625 4.5626
Ag 1.5264 0.8813 6.3529
Na 0.0000 0.0000 0.0000
Ag 4.5792 2.6438 2.7724
CELL_PARAMETERS angstrom
3.0528 0.0000 0.0000
1.5264 2.6438 0.0000
1.5264 0.8813 9.1253
! Energy above the lowest structure with this stoichiometry: 240 meV per atom
! VASP energy: -2.65 eV/atom
! Volume: 73.6 Å³/cell
! Formation energy from raw total energies: -424 meV per atom

---

Record 5
! PBE Na5AgF6, optimized geometry; values from VASP
&SYSTEM
  ibrav = 0, nat = 12, ntyp = 3
/
ATOMIC_SPECIES
F 19.00 F.upf
Na 22.99 Na.upf
Ag 107.87 Ag.upf
ATOMIC_POSITIONS angstrom
F 3.7778 6.9648 3.2882
Na 3.8451 2.8832 0.0000
F 2.0277 1.5203 0.0000
Na 1.8404 5.5650 3.3614
F 5.7527 4.3666 3.2882
F 2.8576 4.1823 1.7444
F 4.8325 1.5841 1.7444
Na 0.9202 2.7825 1.6713
Na 4.7653 5.6657 1.6504
Na 3.8451 2.8832 3.3822
Ag 0.0000 0.0000 0.0000
F 5.6624 4.2461 0.0000
CELL_PARAMETERS angstrom
5.8497 0.2014 0.0000
1.8404 5.5650 0.0000
0.9202 2.7825 5.0326
! VASP energy: -4.15 eV/atom
! Volume: 162.0 Å³/cell
! Formation energy from raw total energies: -2428 meV per atom

---

Record 6
! PBE Na5AgF8, optimized geometry; values from VASP
&SYSTEM
  ibrav = 0, nat = 14, ntyp = 3
/
ATOMIC_SPECIES
F 19.00 F.upf
Na 22.99 Na.upf
Ag 107.87 Ag.upf
ATOMIC_POSITIONS angstrom
F 0.6829 -1.6926 1.2790
Na -0.5212 -4.0118 0.8317
F -2.4362 -2.8490 1.1597
F 1.8457 -4.2460 0.7812
F 3.3951 -2.6507 -0.8809
F 1.3595 -2.2376 -3.4820
Na 1.7155 -1.1470 -1.0919
F 0.1958 -3.6768 3.1589
F -2.7243 -3.9154 3.7069
Na -1.1951 -4.4905 -2.2459
F 0.0091 -2.9152 -1.1527
Ag 2.4015 -2.5944 1.7635
Na 1.1647 -2.4423 4.7911
Na -1.2932 -1.8734 2.9625
CELL_PARAMETERS angstrom
-5.5143 -2.7303 0.5779
3.1684 -2.2991 -4.7824
2.9278 -1.0165 5.3470
! VASP energy: -3.95 eV/atom
! Volume: 181.1 Å³/cell
! Formation energy from raw total energies: -2204 meV per atom

---

Record 7
! PBE NaAg2F5, optimized geometry; values from VASP
&SYSTEM
  ibrav = 0, nat = 32, ntyp = 3
/
ATOMIC_SPECIES
Na 22.99 Na.upf
F 19.00 F.upf
Ag 107.87 Ag.upf
ATOMIC_POSITIONS angstrom
Na 1.4235 0.0000 0.9982
F 3.4431 7.0958 8.6200
F 3.4431 5.5823 2.9760
F 2.2509 1.3563 2.6679
F 5.5265 2.7338 5.8243
Ag 0.7930 1.7497 4.2116
F 0.1675 5.7182 5.4635
F 0.5961 5.5823 8.3118
F 0.1675 6.9598 11.1075
Ag 0.7930 2.4763 9.8556
Ag 2.0539 5.9758 9.8556
F 0.5961 7.0958 2.6679
F 2.6795 2.7338 5.4635
F 4.2705 4.2260 0.4162
Ag 4.9009 6.7023 7.0763
Na 1.4235 4.2260 6.6422
F 1.4235 4.2260 10.8717
F 2.2509 2.8698 8.3118
F 3.0144 5.7182 5.8243
Na 4.2705 0.0000 10.2897
F 2.6795 1.4922 11.1075
F 1.4235 0.0000 5.2277
Ag 4.9009 5.9758 1.4323
Ag 2.0539 6.7023 4.2116
Ag 3.6400 1.7497 7.0763
Na 4.2705 4.2260 4.6457
F 5.0979 2.8698 2.9760
F 3.0144 6.9598 0.1804
F 5.0979 1.3563 8.6200
Ag 3.6400 2.4763 1.4323
F 4.2705 0.0000 6.0602
F 5.5265 1.4922 0.1804
CELL_PARAMETERS angstrom
5.6940 0.0000 0.0000
0.0000 8.4520 0.0000
0.0000 0.0000 11.2879
! VASP energy: -3.54 eV/atom
! Volume: 543.2 Å³/cell
! Formation energy from raw total energies: -1494 meV per atom

---

Record 8
! PBE Na6AgF12, optimized geometry; values from VASP
&SYSTEM
  ibrav = 0, nat = 19, ntyp = 3
/
ATOMIC_SPECIES
F 19.00 F.upf
Ag 107.87 Ag.upf
Na 22.99 Na.upf
ATOMIC_POSITIONS angstrom
F 3.0917 2.6850 4.5694
F 6.1715 0.1931 3.6109
Ag 0.0000 0.0000 0.0000
F 4.8333 3.5218 1.3725
F 1.7510 5.3848 2.3633
F 0.5572 2.9359 3.2543
Na 3.6443 1.9298 0.1222
Na 1.7461 4.5278 4.5045
F 3.4307 6.1067 -1.4497
F 6.0055 1.9909 -0.9260
F -0.7810 6.2646 1.0159
F 2.2987 3.7726 0.0574
Na 5.0805 2.5271 3.4121
Na 0.3100 3.9305 1.2146
Na 1.7785 1.0073 3.5837
F 3.6395 1.0728 2.2635
F -0.6150 4.4668 5.5527
Na 3.6120 5.4503 1.0431
F 1.9597 0.3510 6.0764
CELL_PARAMETERS angstrom
6.4973 0.0298 -0.9714
-1.1317 6.3980 -0.9714
0.0249 0.0298 6.5694
! VASP energy: -3.71 eV/atom
! Volume: 273.7 Å³/cell
! Formation energy from raw total energies: -1957 meV per atom